Entry 1:
Density functional theory data (PBE) for a geometry-optimized Pm4NdDy10 structure.

Values from the calculation:
Fermi-level density of states = 26.7 states/eV/f.u.
ΔE_f = 0.443 eV per atom

a = 10.9224 Å, b = 8.8394 Å, c = 8.8394 Å
α = 67.56°, β = 51.84°, γ = 51.84°
Last column: nearest neighbours and their distance in Å.
Sites, in units of the cell vectors:
Pm  0.5533  0.6588  0.2346  8 Dy 3.48-3.87
Pm  0.7879  0.7654  0.6588  8 Dy 3.48-3.87
Pm  0.2121  0.2346  0.3412  8 Dy 3.48-3.87
Pm  0.4467  0.3412  0.7654  8 Dy 3.48-3.87
Nd  0.0000  0.0000  0.0000  8 Dy 3.08
Dy  0.2500  0.5000  0.5000  4 Dy 3.15, 4 Pm 3.48
Dy  0.7085  0.3419  0.9045  1 Nd 3.08, 2 Dy 3.13-3.15
Dy  0.9497  0.0955  0.3419  1 Nd 3.08, 2 Dy 3.13-3.15
Dy  0.3871  0.9045  0.6581  1 Nd 3.08, 2 Dy 3.13-3.15
Dy  0.9548  0.6581  0.0955  1 Nd 3.08, 2 Dy 3.13-3.15
Dy  0.2915  0.6581  0.0955  1 Nd 3.08, 2 Dy 3.13-3.15
Dy  0.7500  0.5000  0.5000  4 Dy 3.15, 4 Pm 3.48
Dy  0.0452  0.3419  0.9045  1 Nd 3.08, 2 Dy 3.13-3.15
Dy  0.6129  0.0955  0.3419  1 Nd 3.08, 2 Dy 3.13-3.15
Dy  0.0503  0.9045  0.6581  1 Nd 3.08, 2 Dy 3.13-3.15



Entry 2:
Density functional theory data (PBE) for a geometry-optimized Pm15Nd4Dy structure.

Values from the calculation:
Fermi-level density of states = 29.1 states/eV/f.u.
ΔE_f = 0.015 eV per atom

a = 5.1667 Å, b = 5.1667 Å, c = 25.8002 Å
α = 90.00°, β = 90.00°, γ = 90.00°
Last column: nearest neighbours and their distance in Å.
Sites, in units of the cell vectors:
Pm  0.5000  0.5000  0.0000  8 Pm 3.63, 4 Dy 3.65
Pm  0.5000  0.5000  0.1988  4 Nd 3.65, 8 Pm 3.65-3.66
Pm  0.5000  0.5000  0.3998  4 Nd 3.65, 8 Pm 3.66
Pm  0.5000  0.5000  0.6002  4 Nd 3.65, 8 Pm 3.66
Pm  0.5000  0.5000  0.8012  4 Nd 3.65, 8 Pm 3.65-3.66
Pm  0.5000  0.0000  0.0987  2 Dy 3.63, 8 Pm 3.63-3.65, 2 Nd 3.66
Pm  0.5000  0.0000  0.2994  8 Pm 3.65-3.66, 4 Nd 3.66
Pm  0.5000  0.0000  0.5000  8 Pm 3.65-3.66, 4 Nd 3.66
Pm  0.5000  0.0000  0.7006  8 Pm 3.65-3.66, 4 Nd 3.66
Pm  0.5000  0.0000  0.9013  2 Dy 3.63, 8 Pm 3.63-3.65, 2 Nd 3.66
Pm  0.0000  0.5000  0.0987  8 Pm 3.63-3.65, 2 Dy 3.63, 2 Nd 3.66
Pm  0.0000  0.5000  0.2994  8 Pm 3.65-3.66, 4 Nd 3.66
Pm  0.0000  0.5000  0.5000  8 Pm 3.65-3.66, 4 Nd 3.66
Pm  0.0000  0.5000  0.7006  8 Pm 3.65-3.66, 4 Nd 3.66
Pm  0.0000  0.5000  0.9013  8 Pm 3.63-3.65, 2 Dy 3.63, 2 Nd 3.66
Nd  0.0000  0.0000  0.1991  12 Pm 3.65-3.66
Nd  0.0000  0.0000  0.3997  12 Pm 3.65-3.66
Nd  0.0000  0.0000  0.6003  12 Pm 3.65-3.66
Nd  0.0000  0.0000  0.8009  12 Pm 3.65-3.66
Dy  0.0000  0.0000  0.0000  12 Pm 3.63-3.65



Entry 3:
Density functional theory data (PBE) for a geometry-optimized Pm2Nd3Dy5 structure.

Values from the calculation:
Fermi-level density of states = 14.5 states/eV/f.u.
ΔE_f = 0.383 eV per atom
Relative energy among the computed polymorphs = 0.201 eV/atom

a = 10.9876 Å, b = 9.9882 Å, c = 9.9882 Å
α = 56.63°, β = 56.63°, γ = 56.63°
Last column: nearest neighbours and their distance in Å.
Sites, in units of the cell vectors:
Pm  0.1254  0.7730  0.9761  1 Dy 2.94
Pm  0.8746  0.2270  0.0239  1 Dy 2.94
Pm  0.6254  0.9761  0.7730  1 Dy 2.94
Pm  0.3746  0.0239  0.2270  1 Dy 2.94
Nd  0.2500  0.0000  0.0000  4 Pm 3.38, 2 Dy 3.46
Nd  0.7500  0.0000  0.0000  4 Pm 3.38, 2 Dy 3.46
Nd  0.3724  0.3778  0.8775  1 Dy 3.21, 1 Pm 3.33
Nd  0.6276  0.6222  0.1225  1 Dy 3.21, 1 Pm 3.33
Nd  0.8724  0.8775  0.3778  1 Dy 3.21, 1 Pm 3.33
Nd  0.1276  0.1225  0.6222  1 Dy 3.21, 1 Pm 3.33
Dy  0.2500  0.5000  0.5000  6 Dy 3.33-3.41
Dy  0.7500  0.5000  0.5000  6 Dy 3.33-3.41
Dy  0.5020  0.7480  0.7480  3 Dy 3.35-3.41, 2 Pm 3.39, 1 Nd 3.46
Dy  0.9980  0.2520  0.2520  3 Dy 3.35-3.41, 2 Pm 3.39, 1 Nd 3.46
Dy  0.4980  0.2520  0.2520  3 Dy 3.35-3.41, 2 Pm 3.39, 1 Nd 3.46
Dy  0.0020  0.7480  0.7480  3 Dy 3.35-3.41, 2 Pm 3.39, 1 Nd 3.46
Dy  0.1226  0.4660  0.2888  1 Pm 2.94, 1 Nd 3.21
Dy  0.8774  0.5340  0.7112  1 Pm 2.94, 1 Nd 3.21
Dy  0.6226  0.2888  0.4660  1 Pm 2.94, 1 Nd 3.21
Dy  0.3774  0.7112  0.5340  1 Pm 2.94, 1 Nd 3.21



Entry 4:
Density functional theory data (PBE) for a geometry-optimized PmNd2Dy structure.

Values from the calculation:
Fermi-level density of states = 5.8 states/eV/f.u.
ΔE_f = 0.017 eV per atom
Relative energy among the computed polymorphs = 0.004 eV/atom

a = 3.6510 Å, b = 3.6510 Å, c = 12.0115 Å
α = 81.26°, β = 81.26°, γ = 60.00°
Last column: nearest neighbours and their distance in Å.
Sites, in units of the cell vectors:
Pm  0.4998  0.4998  0.5007  6 Pm 3.65, 6 Nd 3.66-3.67
Nd  0.0822  0.0822  0.7534  3 Dy 3.59, 6 Nd 3.65, 3 Pm 3.66
Nd  0.2511  0.2511  0.2468  3 Dy 3.61, 6 Nd 3.65, 3 Pm 3.67
Dy  0.6670  0.6670  0.9990  6 Nd 3.59-3.61, 6 Dy 3.65



Entry 5:
Density functional theory data (PBE) for a geometry-optimized PmNd2Dy2 structure.

Values from the calculation:
Fermi-level density of states = 9.0 states/eV/f.u.
ΔE_f = 0.221 eV per atom
Relative energy among the computed polymorphs = 0.163 eV/atom

a = 5.7085 Å, b = 5.7085 Å, c = 12.1478 Å
α = 90.00°, β = 90.00°, γ = 120.00°
Last column: nearest neighbours and their distance in Å.
Sites, in units of the cell vectors:
Pm  0.0000  0.0000  0.2500  5 Dy 3.04-3.30
Pm  0.0000  0.0000  0.7500  5 Dy 3.04-3.30
Nd  0.3333  0.6667  0.6004  6 Dy 3.51-3.76, 1 Nd 3.63, 3 Pm 3.76
Nd  0.6667  0.3333  0.1004  6 Dy 3.51-3.76, 1 Nd 3.63, 3 Pm 3.76
Nd  0.6667  0.3333  0.3996  6 Dy 3.51-3.76, 1 Nd 3.63, 3 Pm 3.76
Nd  0.3333  0.6667  0.8996  6 Dy 3.51-3.76, 1 Nd 3.63, 3 Pm 3.76
Dy  0.6667  0.3333  0.7500  3 Pm 3.30
Dy  0.0000  0.0000  0.0000  2 Pm 3.04
Dy  0.0000  0.0000  0.5000  2 Pm 3.04
Dy  0.3333  0.6667  0.2500  3 Pm 3.30



Entry 6:
Density functional theory data (PBE) for a geometry-optimized PmNd2Dy9 structure.

Values from the calculation:
Fermi-level density of states = 17.8 states/eV/f.u.
ΔE_f = 0.059 eV per atom
Relative energy among the computed polymorphs = 0.039 eV/atom

a = 3.5138 Å, b = 11.3092 Å, c = 11.3092 Å
α = 120.00°, β = 90.00°, γ = 90.00°
Last column: nearest neighbours and their distance in Å.
Sites, in units of the cell vectors:
Pm  0.0000  0.0000  0.0000  2 Pm 3.51, 12 Dy 3.85
Nd  0.0000  0.3333  0.6667  9 Dy 3.26-3.57, 2 Nd 3.51
Nd  0.0000  0.6667  0.3333  9 Dy 3.26-3.57, 2 Nd 3.51
Dy  0.0000  0.0000  0.5000  2 Nd 3.26, 10 Dy 3.51-3.64
Dy  0.0000  0.5000  0.5000  2 Nd 3.26, 10 Dy 3.51-3.64
Dy  0.0000  0.5000  0.0000  2 Nd 3.26, 10 Dy 3.51-3.64
Dy  0.5000  0.3498  0.1749  8 Dy 3.43-3.64, 2 Nd 3.57
Dy  0.5000  0.1749  0.8251  8 Dy 3.43-3.64, 2 Nd 3.57
Dy  0.5000  0.1749  0.3498  8 Dy 3.43-3.64, 2 Nd 3.57
Dy  0.5000  0.8251  0.6502  8 Dy 3.43-3.64, 2 Nd 3.57
Dy  0.5000  0.8251  0.1749  8 Dy 3.43-3.64, 2 Nd 3.57
Dy  0.5000  0.6502  0.8251  8 Dy 3.43-3.64, 2 Nd 3.57



Question: The lowest Fermi-level density of states belongs to which entry?
Answer: PmNd2Dy